# 1
# BaCa2Sb2

Crystalline BaCa2Sb2 at its relaxed geometry (PBE, Alexandria via LeMat-Bulk).

Results
Uncorrected formation energy in eV per atom: -0.85
Energy above the lowest structure with this stoichiometry in eV per atom: 0.211
DFT total energy in eV/atom: -3.68

a b c (Å): 9.242 9.242 4.044
angles (deg): 90.00 90.00 90.00
Space group P4/mbm (No. 127)
Asymmetric unit:
1 Ba 0.000 0.000 0.000
2 Ca 0.136 0.364 0.500
3 Sb 0.161 0.661 0.000

***

# 2
# BaCaSb2

Crystalline BaCaSb2 at its relaxed geometry (PBE, Alexandria via LeMat-Bulk).

Results
Uncorrected formation energy in eV per atom: -0.78
Energy above the lowest structure with this stoichiometry in eV per atom: 0.067
DFT total energy in eV/atom: -3.82

a b c (Å): 6.096 6.096 3.614
angles (deg): 90.00 90.00 90.00
Space group P4/mmm (No. 123)
Asymmetric unit:
1 Ba 0.000 0.000 0.000
2 Ca 0.500 0.500 0.000
3 Sb 0.000 0.500 0.500

***

# 3
# BaCa2Sb

Crystalline BaCa2Sb at its relaxed geometry (PBE, Alexandria via LeMat-Bulk).

Results
Uncorrected formation energy in eV per atom: -0.53
DFT total energy in eV/atom: -3.04

a b c (Å): 4.206 5.937 13.170
angles (deg): 90.00 90.00 90.00
Space group Immm (No. 71)
Asymmetric unit:
1 Ba 0.000 0.000 0.000
2 Ca 0.000 0.500 0.186
3 Sb 0.000 0.000 0.500

***

# 4
# BaCa2Sb

Crystalline BaCa2Sb at its relaxed geometry (PBE, Alexandria via LeMat-Bulk).

Results
Uncorrected formation energy in eV per atom: -0.47
DFT total energy in eV/atom: -2.99

a b c (Å): 5.2616 5.2616 20.4422
angles (deg): 90.00 90.00 120.00
Space group R3m (No. 160, hexagonal axes)
Asymmetric unit:
1 Ba 0.0000 0.0000 0.0000
2 Ca 0.0000 0.0000 0.5534
3 Ca 0.0000 0.0000 0.7829
4 Sb 0.0000 0.0000 0.1847

***

# 5
# BaCa2Sb2

Crystalline BaCa2Sb2 at its relaxed geometry (PBE, Alexandria via LeMat-Bulk).

Results
Uncorrected formation energy in eV per atom: -1.06
Energy above the lowest structure with this stoichiometry in eV per atom: 0.000
DFT total energy in eV/atom: -3.89

a b c (Å): 5.2177 5.2177 8.3728
angles (deg): 90.00 90.00 120.00
Space group P-3m1 (No. 164)
Asymmetric unit:
1 Ba 0.0000 0.0000 0.0000
2 Ca 0.3333 0.6667 0.6380
3 Sb 0.3333 0.6667 0.2504

***

# 6
# BaCa2Sb

Crystalline BaCa2Sb at its relaxed geometry (PBE, Alexandria via LeMat-Bulk).

Results
Uncorrected formation energy in eV per atom: -0.29
DFT total energy in eV/atom: -2.80

a b c (Å): 7.412 12.542 3.755
angles (deg): 90.00 119.58 90.00
Space group C2/m (No. 12)
Asymmetric unit:
1 Ba 0.000 0.000 0.000
2 Ca 0.250 0.250 0.500
3 Sb 0.000 0.500 0.000

***

# 7
# Ba3CaSb6

Crystalline Ba3CaSb6 at its relaxed geometry (PBE, Alexandria via LeMat-Bulk).

Results
Uncorrected formation energy in eV per atom: -0.69
DFT total energy in eV/atom: -3.94

a b c (Å): 13.8579 13.8579 13.1541
angles (deg): 90.00 90.00 120.00
Space group R-3c (No. 167, hexagonal axes)
Asymmetric unit:
1 Ba 0.0000 0.4317 0.2500
2 Ca 0.0000 0.0000 0.0000
3 Sb 0.0726 0.2179 0.3398

***

# 8
# BaCaSb2

Crystalline BaCaSb2 at its relaxed geometry (PBE, Alexandria via LeMat-Bulk).

Results
Uncorrected formation energy in eV per atom: -0.75
Energy above the lowest structure with this stoichiometry in eV per atom: 0.096
DFT total energy in eV/atom: -3.79

a b c (Å): 8.158 8.158 8.158
angles (deg): 90.00 90.00 90.00
Space group Fm-3m (No. 225)
Asymmetric unit:
1 Ba 0.000 0.000 0.000
2 Ca 0.000 0.000 0.500
3 Sb 0.250 0.250 0.250

***

# 9
# BaCa2Sb

Crystalline BaCa2Sb at its relaxed geometry (PBE, Alexandria via LeMat-Bulk).

Results
Uncorrected formation energy in eV per atom: -0.40
DFT total energy in eV/atom: -2.92

a b c (Å): 4.7670 4.7670 29.7624
angles (deg): 90.00 90.00 120.00
Space group R3m (No. 160, hexagonal axes)
Asymmetric unit:
1 Ba 0.0000 0.0000 0.0000
2 Ca 0.0000 0.0000 0.2162
3 Ca 0.0000 0.0000 0.4491
4 Sb 0.0000 0.0000 0.7354

***

# 10
# BaCa2Sb

Crystalline BaCa2Sb at its relaxed geometry (PBE, Alexandria via LeMat-Bulk).

Results
Uncorrected formation energy in eV per atom: -0.45
DFT total energy in eV/atom: -2.96

a b c (Å): 4.029 4.029 10.014
angles (deg): 90.00 90.00 90.00
Space group P4/mmm (No. 123)
Asymmetric unit:
1 Ba 0.000 0.000 0.000
2 Ca 0.500 0.500 0.330
3 Sb 0.000 0.000 0.500

***

# 11
# BaCaSb

Crystalline BaCaSb at its relaxed geometry (PBE, Alexandria via LeMat-Bulk).

Results
Uncorrected formation energy in eV per atom: -0.77
DFT total energy in eV/atom: -3.45

a b c (Å): 7.902 7.902 7.902
angles (deg): 90.00 90.00 90.00
Space group F-43m (No. 216)
Asymmetric unit:
1 Ba 0.000 0.000 0.000
2 Ca 0.000 0.000 0.500
3 Sb 0.250 0.250 0.750

***

# 12
# BaCa2Sb

Crystalline BaCa2Sb at its relaxed geometry (PBE, Alexandria via LeMat-Bulk).

Results
Uncorrected formation energy in eV per atom: -0.44
DFT total energy in eV/atom: -2.95

a b c (Å): 4.917 4.903 7.257
angles (deg): 90.00 106.03 90.00
Space group P2/m (No. 10)
Asymmetric unit:
1 Ba 0.000 0.000 0.000
2 Ca 0.358 0.500 0.708
3 Sb 0.000 0.000 0.500

***

# 13
# BaCaSb2

Crystalline BaCaSb2 at its relaxed geometry (PBE, Alexandria via LeMat-Bulk).

Results
Uncorrected formation energy in eV per atom: -0.38
Energy above the lowest structure with this stoichiometry in eV per atom: 0.468
DFT total energy in eV/atom: -3.42

a b c (Å): 8.049 8.049 8.049
angles (deg): 90.00 90.00 90.00
Space group F-43m (No. 216)
Asymmetric unit:
1 Ba 0.000 0.000 0.000
2 Ca 0.250 0.250 0.750
3 Sb 0.000 0.000 0.500
4 Sb 0.250 0.250 0.250

***

# 14
# BaCaSb2

Crystalline BaCaSb2 at its relaxed geometry (PBE, Alexandria via LeMat-Bulk).

Results
Uncorrected formation energy in eV per atom: -0.80
Energy above the lowest structure with this stoichiometry in eV per atom: 0.047
DFT total energy in eV/atom: -3.84

a b c (Å): 5.753 6.541 7.349
angles (deg): 90.00 90.00 90.00
Space group Immm (No. 71)
Asymmetric unit:
1 Ba 0.000 0.000 0.000
2 Ca 0.000 0.000 0.500
3 Sb 0.000 0.500 0.213

***

# 15
# BaCa2Sb

Crystalline BaCa2Sb at its relaxed geometry (PBE, Alexandria via LeMat-Bulk).

Results
Uncorrected formation energy in eV per atom: -0.45
DFT total energy in eV/atom: -2.97

a b c (Å): 4.6328 4.6328 31.1024
angles (deg): 90.00 90.00 120.00
Space group R-3m (No. 166, hexagonal axes)
Asymmetric unit:
1 Ba 0.0000 0.0000 0.0000
2 Ca 0.0000 0.0000 0.2174
3 Sb 0.0000 0.0000 0.5000

***

# 16
# BaCa2Sb2

Crystalline BaCa2Sb2 at its relaxed geometry (PBE, Alexandria via LeMat-Bulk).

Results
Uncorrected formation energy in eV per atom: -0.68
Energy above the lowest structure with this stoichiometry in eV per atom: 0.384
DFT total energy in eV/atom: -3.51

a b c (Å): 5.967 5.967 11.048
angles (deg): 90.00 90.00 90.00
Space group I4/mmm (No. 139)
Asymmetric unit:
1 Ba 0.000 0.000 0.000
2 Ca 0.000 0.000 0.325
3 Sb 0.000 0.500 0.250

***

# 17
# BaCa2Sb

Crystalline BaCa2Sb at its relaxed geometry (PBE, Alexandria via LeMat-Bulk).

Results
Uncorrected formation energy in eV per atom: -0.49
DFT total energy in eV/atom: -3.00

a b c (Å): 5.213 5.213 5.325
angles (deg): 90.00 90.00 90.00
Space group P4/mmm (No. 123)
Asymmetric unit:
1 Ba 0.000 0.000 0.000
2 Ca 0.000 0.500 0.500
3 Sb 0.500 0.500 0.000

***

# 18
# BaCaSb2

Crystalline BaCaSb2 at its relaxed geometry (PBE, Alexandria via LeMat-Bulk).

Results
Uncorrected formation energy in eV per atom: -0.67
Energy above the lowest structure with this stoichiometry in eV per atom: 0.169
DFT total energy in eV/atom: -3.72

a b c (Å): 4.3698 4.3698 27.1918
angles (deg): 90.00 90.00 120.00
Space group R-3m (No. 166, hexagonal axes)
Asymmetric unit:
1 Ba 0.0000 0.0000 0.0000
2 Ca 0.0000 0.0000 0.5000
3 Sb 0.0000 0.0000 0.2429

***

# 19
# BaCa2Sb2

Crystalline BaCa2Sb2 at its relaxed geometry (PBE, Alexandria via LeMat-Bulk).

Results
Uncorrected formation energy in eV per atom: -0.93
Energy above the lowest structure with this stoichiometry in eV per atom: 0.133
DFT total energy in eV/atom: -3.76

a b c (Å): 5.960 5.960 10.429
angles (deg): 90.00 90.00 90.00
Space group P4/nmm (No. 129, origin choice 2)
Asymmetric unit:
1 Ba 0.250 0.250 0.209
2 Ca 0.250 0.250 0.882
3 Ca 0.250 0.750 0.500
4 Sb 0.250 0.250 0.585
5 Sb 0.250 0.750 0.000

***

# 20
# BaCa3Sb

Crystalline BaCa3Sb at its relaxed geometry (PBE, Alexandria via LeMat-Bulk).

Results
Uncorrected formation energy in eV per atom: -0.31
Energy above the lowest structure with this stoichiometry in eV per atom: 0.000
DFT total energy in eV/atom: -2.72

a b c (Å): 6.140 6.140 6.140
angles (deg): 90.00 90.00 90.00
Space group Pm-3m (No. 221)
Asymmetric unit:
1 Ba 0.000 0.000 0.000
2 Ca 0.000 0.500 0.500
3 Sb 0.500 0.500 0.500

***

# 21
# BaCaSb

Crystalline BaCaSb at its relaxed geometry (PBE, Alexandria via LeMat-Bulk).

Results
Uncorrected formation energy in eV per atom: -0.87
DFT total energy in eV/atom: -3.55

a b c (Å): 4.997 4.997 9.111
angles (deg): 90.00 90.00 90.00
Space group P4/nmm (No. 129, origin choice 2)
Asymmetric unit:
1 Ba 0.250 0.250 0.142
2 Ca 0.250 0.750 0.500
3 Sb 0.250 0.250 0.735

***

# 22
# BaCa2Sb

Crystalline BaCa2Sb at its relaxed geometry (PBE, Alexandria via LeMat-Bulk).

Results
Uncorrected formation energy in eV per atom: -0.40
DFT total energy in eV/atom: -2.91

a b c (Å): 5.097 5.097 11.067
angles (deg): 90.00 90.00 90.00
Space group I-4m2 (No. 119)
Asymmetric unit:
1 Ba 0.000 0.000 0.000
2 Ca 0.000 0.000 0.500
3 Ca 0.000 0.500 0.750
4 Sb 0.000 0.500 0.250

***

# 23
# BaCaSb2

Crystalline BaCaSb2 at its relaxed geometry (PBE, Alexandria via LeMat-Bulk).

Results
Uncorrected formation energy in eV per atom: -0.79
Energy above the lowest structure with this stoichiometry in eV per atom: 0.058
DFT total energy in eV/atom: -3.83

a b c (Å): 5.455 5.455 8.988
angles (deg): 90.00 90.00 90.00
Space group I4/mmm (No. 139)
Asymmetric unit:
1 Ba 0.000 0.000 0.000
2 Ca 0.000 0.000 0.500
3 Sb 0.000 0.500 0.250

***

# 24
# BaCaSb

Crystalline BaCaSb at its relaxed geometry (PBE, Alexandria via LeMat-Bulk).

Results
Uncorrected formation energy in eV per atom: -0.65
DFT total energy in eV/atom: -3.33

a b c (Å): 4.277 4.277 12.780
angles (deg): 90.00 90.00 90.00
Space group I4mm (No. 107)
Asymmetric unit:
1 Ba 0.000 0.000 0.000
2 Ca 0.000 0.000 0.263
3 Sb 0.000 0.000 0.672

***

# 25
# Ba5CaSb4

Crystalline Ba5CaSb4 at its relaxed geometry (PBE, Alexandria via LeMat-Bulk).

Results
Uncorrected formation energy in eV per atom: -0.95
Energy above the lowest structure with this stoichiometry in eV per atom: 0.000
DFT total energy in eV/atom: -3.76

a b c (Å): 20.301 5.248 8.781
angles (deg): 90.00 101.08 90.00
Space group C2/m (No. 12)
Asymmetric unit:
1 Ba 0.000 0.000 0.000
2 Ba 0.152 0.500 0.460
3 Ba 0.171 0.500 0.974
4 Ca 0.000 0.000 0.500
5 Sb 0.023 0.500 0.729
6 Sb 0.194 0.000 0.237

***

# 26
# BaCaSb2

Crystalline BaCaSb2 at its relaxed geometry (PBE, Alexandria via LeMat-Bulk).

Results
Uncorrected formation energy in eV per atom: -0.55
Energy above the lowest structure with this stoichiometry in eV per atom: 0.298
DFT total energy in eV/atom: -3.59

a b c (Å): 6.086 6.086 19.769
angles (deg): 90.00 90.00 90.00
Space group I-42d (No. 122)
Asymmetric unit:
1 Ba 0.000 0.000 0.000
2 Ca 0.000 0.000 0.500
3 Sb 0.091 0.250 0.625

***

# 27
# BaCaSb

Crystalline BaCaSb at its relaxed geometry (PBE, Alexandria via LeMat-Bulk).

Results
Uncorrected formation energy in eV per atom: -0.78
DFT total energy in eV/atom: -3.46

a b c (Å): 5.2583 5.2583 5.0426
angles (deg): 90.00 90.00 120.00
Space group P-6m2 (No. 187)
Asymmetric unit:
1 Ba 0.0000 0.0000 0.0000
2 Ca 0.3333 0.6667 0.5000
3 Sb 0.6667 0.3333 0.5000

***

# 28
# BaCa3Sb

Crystalline BaCa3Sb at its relaxed geometry (PBE, Alexandria via LeMat-Bulk).

Results
Uncorrected formation energy in eV per atom: 0.90
Energy above the lowest structure with this stoichiometry in eV per atom: 1.214
DFT total energy in eV/atom: -1.51

a b c (Å): 5.839 5.839 5.839
angles (deg): 90.00 90.00 90.00
Space group Pm-3m (No. 221)
Asymmetric unit:
1 Ba 0.000 0.000 0.000
2 Ca 0.000 0.000 0.500
3 Sb 0.500 0.500 0.500